Crystalline Tl3CrSe2O8 at its relaxed geometry, computed with PBE+U.

Output
- E: -5.169 eV/atom
- Space-group type: P-3m1 (164)

Cell lengths 5.878, 5.878, 7.856 Å; angles 90.00, 90.00, 120.00 degrees
Site moments in Bohr magnetons follow the coordinates.
Sites, in units of the cell vectors:
O 0.153 0.847 0.337  -0.17
O 0.694 0.847 0.337  -0.17
O 0.333 0.667 0.105  -0.02
O 0.667 0.333 0.895  -0.02
O 0.153 0.306 0.337  -0.17
O 0.847 0.153 0.663  -0.17
O 0.847 0.694 0.663  -0.17
O 0.306 0.153 0.663  -0.17
Cr 0.000 0.000 0.500  2.85
Se 0.667 0.333 0.679  -0.07
Se 0.333 0.667 0.321  -0.07
Tl 0.000 0.000 0.000  -0.01
Tl 0.667 0.333 0.223  0.00
Tl 0.333 0.667 0.777  0.00